# TmZrTl2

An optimized crystal structure of TmZrTl2 (GGA-PBE, the Alexandria database).

Energy relative to the elements in kcal/mol of atoms: -2.5
Fermi-level density of states in states/eV/atom: 0.7651
Calculated volume in Å³ per atom: 24.7

Cell lengths 3.804, 3.804, 6.815 Å; angles 90.00, 90.00, 90.00 degrees
Space group P4/mmm (No. 123)
One atom of each set of equivalent atoms:
Tm  0.000  0.000  0.000 [1 per cell]
Zr  0.000  0.000  0.500 [1 per cell]
Tl  0.500  0.500  0.258 [2 per cell]